1.
12
Lattice="4.822 -2.392 0.000 4.822 2.392 0.000 -4.685 0.000 6.418" Properties=species:S:1:pos:R:3 comment="ZnH4Pd7 | Alexandria via LeMat-Bulk | PBE | relaxed" dft_energy_ev_per_atom=-4.191 spacegroup=C2/m dos_ef_per_ev_atom=0.50 pbc="T T T"
Zn 0.000 0.000 0.000
H -0.946 0.000 3.416
H 1.031 0.000 4.865
H 3.926 0.000 1.553
H 5.903 0.000 3.003
Pd -2.835 0.000 4.480
Pd 2.279 0.000 0.823
Pd 0.875 0.000 3.179
Pd 4.822 0.000 0.000
Pd 4.083 0.000 3.240
Pd 2.679 0.000 5.595
Pd 7.793 0.000 1.938

2.
12
Lattice="3.055 0.000 0.000 0.000 9.419 0.000 0.000 0.000 4.677" Properties=species:S:1:pos:R:3 comment="ZnH2Pd3 | Alexandria via LeMat-Bulk | PBE | relaxed" spacegroup=Pmmn dos_ef_per_ev_atom=0.18 relative_energy_mev_per_atom=0 pbc="T T T"
Zn 0.764 2.355 1.067
Zn 2.291 7.064 3.610
H 0.764 5.351 1.713
H 0.764 8.778 1.713
H 2.291 0.642 2.964
H 2.291 4.068 2.964
Pd 0.764 4.960 3.546
Pd 0.764 7.064 1.155
Pd 0.764 9.169 3.546
Pd 2.291 0.250 1.131
Pd 2.291 2.355 3.522
Pd 2.291 4.460 1.131

3.
5
Lattice="3.929 0.000 0.000 0.000 3.929 0.000 0.000 0.000 3.929" Properties=species:S:1:pos:R:3 comment="Zn3HPd | Alexandria via LeMat-Bulk | PBE | relaxed" spacegroup=Pm-3m dos_ef_per_ev_atom=0.20 relative_energy_mev_per_atom=0 pbc="T T T"
Zn 0.000 0.000 1.964
Zn 0.000 1.964 0.000
Zn 1.964 0.000 0.000
H 0.000 0.000 0.000
Pd 1.964 1.964 1.964

4.
10
Lattice="4.381 0.000 0.000 -2.191 3.794 0.000 0.000 0.000 7.707" Properties=species:S:1:pos:R:3 comment="ZnHPd3 | Alexandria via LeMat-Bulk | PBE | relaxed" spacegroup=P6_3/mmc dos_ef_per_ev_atom=0.34 relative_energy_mev_per_atom=160 pbc="T T T"
Zn 0.000 2.530 1.927
Zn 2.191 1.265 5.780
H 0.000 0.000 0.000
H 0.000 0.000 3.853
Pd 0.000 0.000 1.927
Pd 0.000 0.000 5.780
Pd 0.000 2.530 4.421
Pd 0.000 2.530 7.139
Pd 2.191 1.265 0.568
Pd 2.191 1.265 3.286

Number 1: density 9.13 g cm⁻³, M_tot 0.000 μB/atom. Number 2: density 9.54 g cm⁻³, M_tot 0.000 μB/atom. Number 3: density 8.31 g cm⁻³, M_tot 0.000 μB/atom. Number 4: density 10.00 g cm⁻³, M_tot 0.000 μB/atom.